Pm5Y3Er after structural relaxation, computed with GGA-PBE.

Structure (POSCAR):
```
Pm5Y3Er
1.0
-6.5940 -6.3579 2.9384
4.9377 -6.7801 4.7104
-1.8287 -3.7835 10.9991
Pm Y Er
10 6 2
Direct
0.1553 0.6602 0.7433
0.4906 0.4906 0.2372
0.6602 0.1553 0.7433
0.8447 0.3398 0.2567
0.5094 0.5094 0.7628
0.7469 0.2531 0.0000
0.2531 0.7469 0.0000
0.3398 0.8447 0.2567
0.8209 0.8209 0.9546
0.1791 0.1791 0.0454
0.3380 0.3380 0.6464
0.0000 0.0000 0.5000
0.6838 0.6838 0.8249
0.3162 0.3162 0.1751
0.0000 0.0000 0.0000
0.6620 0.6620 0.3536
0.8464 0.8464 0.4054
0.1536 0.1536 0.5946
```

Calculated values
The theoretical density comes out at 5.64 g/cm3. The total energy comes out at -4.80 eV/atom. The value obtained for the energy above the most stable polymorph in this dataset is 2.36 eV/f.u. Its space group is C2/m. For the calculated volume, the calculation gives 37.94 Å³/atom. As for the density of states at the Fermi level: 1.576 states/eV/atom. The formation energy from the elements comes out at 0.501 eV per atom.